[1]
# Ga2IBr

A geometry-optimized Ga2IBr structure (PBE, Alexandria). Values from VASP.

## Properties
SG: P4/mmm
Final energy, eV/atom: -2.662
Energy relative to the lowest polymorph listed for this composition, meV/atom: 123
Formation energy from raw total energies, eV/f.u.: -1.4

Geometry as Quantum ESPRESSO input:
```
&SYSTEM
  ibrav = 0, nat = 4, ntyp = 3
/
ATOMIC_SPECIES
Ga 69.72 Ga.upf
I 126.90 I.upf
Br 79.90 Br.upf
ATOMIC_POSITIONS crystal
Ga 0.000 0.000 0.237
Ga 0.000 0.000 0.763
I 0.500 0.500 0.500
Br 0.500 0.500 0.000
CELL_PARAMETERS angstrom
3.947 0.000 0.000
0.000 3.947 0.000
0.000 0.000 7.818
```

[2]
# BaZn3Pt

A geometry-optimized BaZn3Pt structure (PBE, Alexandria). Values from VASP.

## Properties
SG: Fd-3m
Final energy, eV/atom: -2.515
Energy relative to the lowest polymorph listed for this composition, meV/atom: 301
Energy relative to the elements, eV/atom: -0.1580

Geometry as Quantum ESPRESSO input:
```
&SYSTEM
  ibrav = 0, nat = 20, ntyp = 3
/
ATOMIC_SPECIES
Ba 137.33 Ba.upf
Zn 65.41 Zn.upf
Pt 195.08 Pt.upf
ATOMIC_POSITIONS crystal
Ba 0.000 0.000 0.000
Ba 0.000 0.000 0.500
Ba 0.000 0.500 0.000
Ba 0.500 0.000 0.000
Zn 0.211 0.211 0.539
Zn 0.211 0.539 0.211
Zn 0.211 0.539 0.539
Zn 0.461 0.461 0.789
Zn 0.461 0.789 0.461
Zn 0.461 0.789 0.789
Zn 0.539 0.211 0.211
Zn 0.539 0.211 0.539
Zn 0.539 0.539 0.211
Zn 0.789 0.461 0.461
Zn 0.789 0.461 0.789
Zn 0.789 0.789 0.461
Pt 0.000 0.500 0.500
Pt 0.500 0.000 0.500
Pt 0.500 0.500 0.000
Pt 0.500 0.500 0.500
CELL_PARAMETERS angstrom
0.000 6.764 6.764
6.764 0.000 6.764
6.764 6.764 0.000
```

[3]
# Ca3Ac6La2Pr

A geometry-optimized Ca3Ac6La2Pr structure (PBE, Alexandria). Values from VASP.

## Properties
SG: C2/m
Final energy, eV/atom: -3.755
Energy relative to the elements, eV/atom: 0.0196

Geometry as Quantum ESPRESSO input:
```
&SYSTEM
  ibrav = 0, nat = 12, ntyp = 4
/
ATOMIC_SPECIES
Ca 40.08 Ca.upf
Ac 227.00 Ac.upf
La 138.91 La.upf
Pr 140.91 Pr.upf
ATOMIC_POSITIONS crystal
Ca 0.000 0.000 0.000
Ca 0.333 0.667 0.000
Ca 0.667 0.333 0.000
Ac 0.086 0.419 0.257
Ac 0.248 0.248 0.743
Ac 0.419 0.086 0.257
Ac 0.581 0.914 0.743
Ac 0.752 0.752 0.257
Ac 0.914 0.581 0.743
La 0.167 0.833 0.500
La 0.833 0.167 0.500
Pr 0.500 0.500 0.500
CELL_PARAMETERS angstrom
3.385 -5.866 0.000
3.385 5.866 0.000
-2.251 0.000 12.757
```

[4]
# K2SrCrPd

A geometry-optimized K2SrCrPd structure (PBE, Alexandria). Values from VASP.

## Properties
SG: P4/mmm
Final energy, eV/atom: -2.813
Energy relative to the elements, eV/atom: 0.9253

Geometry as Quantum ESPRESSO input:
```
&SYSTEM
  ibrav = 0, nat = 5, ntyp = 4
/
ATOMIC_SPECIES
K 39.10 K.upf
Sr 87.62 Sr.upf
Cr 52.00 Cr.upf
Pd 106.42 Pd.upf
ATOMIC_POSITIONS crystal
K 0.000 0.500 0.000
K 0.500 0.000 0.000
Sr 0.000 0.000 0.500
Cr 0.000 0.000 0.000
Pd 0.500 0.500 0.500
CELL_PARAMETERS angstrom
6.046 0.000 0.000
0.000 6.046 0.000
0.000 0.000 6.399
```

[5]
# Ce2TlSi

A geometry-optimized Ce2TlSi structure (PBE, Alexandria). Values from VASP.

## Properties
SG: R-3m
Final energy, eV/atom: -5.192
Formation energy from raw total energies, eV/f.u.: -1.1

Geometry as Quantum ESPRESSO input:
```
&SYSTEM
  ibrav = 0, nat = 4, ntyp = 3
/
ATOMIC_SPECIES
Ce 140.12 Ce.upf
Tl 204.38 Tl.upf
Si 28.09 Si.upf
ATOMIC_POSITIONS crystal
Ce 0.236 0.236 0.236
Ce 0.764 0.764 0.764
Tl 0.000 0.000 0.000
Si 0.500 0.500 0.500
CELL_PARAMETERS angstrom
2.006 1.158 8.408
-2.006 1.158 8.408
0.000 -2.316 8.408
```

[6]
# HfIBr2

A geometry-optimized HfIBr2 structure (PBE, Alexandria). Values from VASP.

## Properties
SG: Fm-3m
Final energy, eV/atom: -3.640
Energy relative to the lowest polymorph listed for this composition, meV/atom: 790
Formation energy from raw total energies, eV/f.u.: 0.3

Geometry as Quantum ESPRESSO input:
```
&SYSTEM
  ibrav = 0, nat = 4, ntyp = 3
/
ATOMIC_SPECIES
Hf 178.49 Hf.upf
I 126.90 I.upf
Br 79.90 Br.upf
ATOMIC_POSITIONS crystal
Hf 0.000 0.000 0.000
I 0.500 0.500 0.500
Br 0.250 0.250 0.250
Br 0.750 0.750 0.750
CELL_PARAMETERS angstrom
0.000 3.670 3.670
3.670 0.000 3.670
3.670 3.670 0.000
```

[7]
# ScNi2Te

A geometry-optimized ScNi2Te structure (PBE, Alexandria). Values from VASP.

## Properties
SG: I-4m2
Final energy, eV/atom: -5.537
Formation energy from raw total energies, eV/f.u.: -1.1

Geometry as Quantum ESPRESSO input:
```
&SYSTEM
  ibrav = 0, nat = 4, ntyp = 3
/
ATOMIC_SPECIES
Sc 44.96 Sc.upf
Ni 58.69 Ni.upf
Te 127.60 Te.upf
ATOMIC_POSITIONS crystal
Sc 0.000 0.000 0.000
Ni 0.500 0.500 0.000
Ni 0.750 0.250 0.500
Te 0.250 0.750 0.500
CELL_PARAMETERS angstrom
-1.948 1.948 4.279
1.948 -1.948 4.279
1.948 1.948 -4.279
```

[8]
# Dy3Y3Tm2

A geometry-optimized Dy3Y3Tm2 structure (PBE, Alexandria). Values from VASP.

## Properties
SG: R32
Final energy, eV/atom: -5.030
Energy relative to the lowest polymorph listed for this composition, meV/atom: 141
Energy relative to the elements, eV/atom: 0.2372

Geometry as Quantum ESPRESSO input:
```
&SYSTEM
  ibrav = 0, nat = 8, ntyp = 3
/
ATOMIC_SPECIES
Dy 162.50 Dy.upf
Y 88.91 Y.upf
Tm 168.93 Tm.upf
ATOMIC_POSITIONS crystal
Dy 0.000 0.766 0.234
Dy 0.234 0.000 0.766
Dy 0.766 0.234 0.000
Y 0.265 0.500 0.735
Y 0.500 0.735 0.265
Y 0.735 0.265 0.500
Tm 0.250 0.250 0.250
Tm 0.750 0.750 0.750
CELL_PARAMETERS angstrom
4.413 2.548 3.919
-4.413 2.548 3.919
0.000 -5.095 3.919
```

[9]
# TlSnCl2

A geometry-optimized TlSnCl2 structure (PBE, Alexandria). Values from VASP.

## Properties
SG: I-42d
Final energy, eV/atom: -3.025
Energy relative to the lowest polymorph listed for this composition, meV/atom: 155
Formation energy from raw total energies, eV/f.u.: -2.0

Geometry as Quantum ESPRESSO input:
```
&SYSTEM
  ibrav = 0, nat = 8, ntyp = 3
/
ATOMIC_SPECIES
Tl 204.38 Tl.upf
Sn 118.71 Sn.upf
Cl 35.45 Cl.upf
ATOMIC_POSITIONS crystal
Tl 0.000 0.000 0.000
Tl 0.750 0.250 0.500
Sn 0.250 0.750 0.500
Sn 0.500 0.500 0.000
Cl 0.164 0.625 0.039
Cl 0.375 0.414 0.539
Cl 0.586 0.125 0.961
Cl 0.875 0.836 0.461
CELL_PARAMETERS angstrom
-2.658 2.658 9.329
2.658 -2.658 9.329
2.658 2.658 -9.329
```

[10]
# AlAg3Au4

A geometry-optimized AlAg3Au4 structure (PBE, Alexandria). Values from VASP.

## Properties
SG: P4/mmm
Final energy, eV/atom: -3.305
Energy relative to the lowest polymorph listed for this composition, meV/atom: 0
Energy relative to the elements, eV/atom: -0.1298

Geometry as Quantum ESPRESSO input:
```
&SYSTEM
  ibrav = 0, nat = 8, ntyp = 3
/
ATOMIC_SPECIES
Al 26.98 Al.upf
Ag 107.87 Ag.upf
Au 196.97 Au.upf
ATOMIC_POSITIONS crystal
Al 0.000 0.000 0.000
Ag 0.000 0.000 0.242
Ag 0.000 0.000 0.500
Ag 0.000 0.000 0.758
Au 0.500 0.500 0.107
Au 0.500 0.500 0.371
Au 0.500 0.500 0.629
Au 0.500 0.500 0.893
CELL_PARAMETERS angstrom
2.986 0.000 0.000
0.000 2.986 0.000
0.000 0.000 15.770
```

[11]
# ZrHgP2

A geometry-optimized ZrHgP2 structure (PBE, Alexandria). Values from VASP.

## Properties
SG: R3m
Final energy, eV/atom: -4.961
Energy relative to the elements, eV/atom: -0.0434

Geometry as Quantum ESPRESSO input:
```
&SYSTEM
  ibrav = 0, nat = 4, ntyp = 3
/
ATOMIC_SPECIES
Zr 91.22 Zr.upf
Hg 200.59 Hg.upf
P 30.97 P.upf
ATOMIC_POSITIONS crystal
Zr 0.000 0.000 0.000
Hg 0.233 0.233 0.233
P 0.474 0.474 0.474
P 0.752 0.752 0.752
CELL_PARAMETERS angstrom
1.641 0.947 8.103
-1.641 0.947 8.103
0.000 -1.895 8.103
```

[12]
# Zn3CdSe

A geometry-optimized Zn3CdSe structure (PBE, Alexandria). Values from VASP.

## Properties
SG: Pm-3m
Final energy, eV/atom: -1.152
Energy relative to the lowest polymorph listed for this composition, meV/atom: 110
Formation energy from raw total energies, eV/f.u.: 2.5

Geometry as Quantum ESPRESSO input:
```
&SYSTEM
  ibrav = 0, nat = 5, ntyp = 3
/
ATOMIC_SPECIES
Zn 65.41 Zn.upf
Cd 112.41 Cd.upf
Se 78.96 Se.upf
ATOMIC_POSITIONS crystal
Zn 0.000 0.000 0.500
Zn 0.000 0.500 0.000
Zn 0.500 0.000 0.000
Cd 0.000 0.000 0.000
Se 0.500 0.500 0.500
CELL_PARAMETERS angstrom
5.042 0.000 0.000
0.000 5.042 0.000
0.000 0.000 5.042
```

Number 1: total magnetic moment 0.000 μB per formula unit. Number 2: total magnetic moment 0.000 μB per formula unit. Number 3: total magnetic moment 0.000 μB per formula unit. Number 4: total magnetic moment 5.660 μB per formula unit. Number 5: total magnetic moment 1.078 μB per formula unit. Number 6: total magnetic moment 0.812 μB per formula unit. Number 7: total magnetic moment 0.000 μB per formula unit. Number 8: total magnetic moment 6.773 μB per formula unit. Number 9: total magnetic moment 0.003 μB per formula unit. Number 10: total magnetic moment 0.000 μB per formula unit. Number 11: total magnetic moment 0.000 μB per formula unit. Number 12: total magnetic moment 0.000 μB per formula unit.